Rb4Mg3InF12: optimized geometry, PBE.

a b c (Å): 7.3717 7.3717 7.3717
angles (deg): 109.47 109.47 109.47
Sites, in units of the cell vectors:
F 0.0000 0.7310 0.7310
In 0.0000 0.0000 0.0000
Rb 0.5000 0.0000 0.0000
Mg 0.0000 0.5000 0.5000
F 0.7310 0.0000 0.7310
Mg 0.5000 0.5000 0.0000
F 0.2500 0.5000 0.7500
F 0.2690 0.2690 0.0000
Rb 0.5000 0.5000 0.5000
F 0.7500 0.5000 0.2500
F 0.7500 0.2500 0.5000
F 0.5000 0.2500 0.7500
F 0.5000 0.7500 0.2500
F 0.2500 0.7500 0.5000
F 0.7310 0.7310 0.0000
F 0.2690 0.0000 0.2690
Rb 0.0000 0.0000 0.5000
Rb 0.0000 0.5000 0.0000
F 0.0000 0.2690 0.2690
Mg 0.5000 0.0000 0.5000

Computed properties:
Total moment (μB per cell): 1.0
Density (Mg/m³): 4.08
Raw formation energy (meV per atom): -3007
SG: Im-3m, No. 229

=====

MgScInF2: optimized geometry, PBE.

a b c (Å): 4.0922 6.4178 4.0922
angles (deg): 90.00 90.00 90.00
Sites, in units of the cell vectors:
In 0.0000 0.5000 0.0000
F 0.5000 0.0000 0.0000
Sc 0.0000 0.0000 0.0000
F 0.0000 0.0000 0.5000
Mg 0.5000 0.5000 0.5000

Computed properties:
Total moment (μB per cell): 0.0
Density (Mg/m³): 3.43
Raw formation energy (meV per atom): -1945
SG: P4/mmm, No. 123

=====

MgTl2InF6: optimized geometry, PBE.

a b c (Å): 6.1632 6.1567 8.7098
angles (deg): 90.00 90.00 90.00
Sites, in units of the cell vectors:
F 0.0000 0.7484 0.2663
In 0.5000 0.2492 0.5000
Tl 0.5000 0.7495 0.2499
F 0.7666 0.9831 0.5000
Tl 0.5000 0.7495 0.7501
F 0.0000 0.7484 0.7337
F 0.2336 0.5154 0.5000
Tl 0.0000 0.2505 0.2501
In 0.0000 0.7508 0.0000
F 0.7336 0.4846 0.0000
F 0.7664 0.5154 0.5000
F 0.2666 0.0169 0.0000
F 0.5000 0.2516 0.2337
Mg 0.0000 0.7493 0.5000
Tl 0.0000 0.2505 0.7499
F 0.7334 0.0169 0.0000
F 0.2664 0.4846 0.0000
Mg 0.5000 0.2507 0.0000
F 0.5000 0.2516 0.7663
F 0.2334 0.9831 0.5000

Computed properties:
Total moment (μB per cell): 2.1
Density (Mg/m³): 6.65
Raw formation energy (meV per atom): -2371
SG: Pmmn, No. 59

=====

Mg3Tl4InF12: optimized geometry, PBE.

a b c (Å): 7.3662 7.3662 7.3662
angles (deg): 109.47 109.47 109.47
Sites, in units of the cell vectors:
Tl 0.0000 0.0000 0.5000
F 0.0000 0.2680 0.2680
F 0.7500 0.2500 0.5000
Tl 0.0000 0.5000 0.0000
F 0.2680 0.2680 0.0000
In 0.0000 0.0000 0.0000
F 0.5000 0.7500 0.2500
F 0.5000 0.2500 0.7500
Tl 0.5000 0.0000 0.0000
F 0.2680 0.0000 0.2680
Tl 0.5000 0.5000 0.5000
F 0.7500 0.5000 0.2500
F 0.2500 0.7500 0.5000
F 0.7320 0.0000 0.7320
Mg 0.5000 0.0000 0.5000
Mg 0.5000 0.5000 0.0000
F 0.7320 0.7320 0.0000
Mg 0.0000 0.5000 0.5000
F 0.2500 0.5000 0.7500
F 0.0000 0.7320 0.7320

Computed properties:
Total moment (μB per cell): 0.7
Density (Mg/m³): 6.66
Raw formation energy (meV per atom): -2591
SG: Im-3m, No. 229

=====

- raw formation energy of number 2 (MgScInF2)?
  -1945 meV per atom

=====

- The lowest raw formation energy belongs to which entry?
  Rb4Mg3InF12

=====

- The highest raw formation energy belongs to which entry?
  MgScInF2

=====

Copy entry 4 word for word.
Mg3Tl4InF12: optimized geometry, PBE.

a b c (Å): 7.3662 7.3662 7.3662
angles (deg): 109.47 109.47 109.47
Sites, in units of the cell vectors:
Tl 0.0000 0.0000 0.5000
F 0.0000 0.2680 0.2680
F 0.7500 0.2500 0.5000
Tl 0.0000 0.5000 0.0000
F 0.2680 0.2680 0.0000
In 0.0000 0.0000 0.0000
F 0.5000 0.7500 0.2500
F 0.5000 0.2500 0.7500
Tl 0.5000 0.0000 0.0000
F 0.2680 0.0000 0.2680
Tl 0.5000 0.5000 0.5000
F 0.7500 0.5000 0.2500
F 0.2500 0.7500 0.5000
F 0.7320 0.0000 0.7320
Mg 0.5000 0.0000 0.5000
Mg 0.5000 0.5000 0.0000
F 0.7320 0.7320 0.0000
Mg 0.0000 0.5000 0.5000
F 0.2500 0.5000 0.7500
F 0.0000 0.7320 0.7320

Computed properties:
Total moment (μB per cell): 0.7
Density (Mg/m³): 6.66
Raw formation energy (meV per atom): -2591
SG: Im-3m, No. 229